Record 1
# BeInTe, relaxed, DFT GGA-PBE
# Raw formation energy: 0.0 eV/f.u.
# ΔE to the lowest computed polymorph: 0 meV per atom
# Volume: 24.661 A^3/atom
data_BeInTe
_cell_length_a 3.8848
_cell_length_b 3.8848
_cell_length_c 5.6606
_cell_angle_alpha 90.00
_cell_angle_beta 90.00
_cell_angle_gamma 120.00
_space_group_name_H-M_alt 'P 3 m 1'
_space_group_IT_number 156
loop_
_space_group_symop_operation_xyz
'x,y,z'
'-y,x-y,z'
'-x+y,-x,z'
'-y,-x,z'
'-x+y,y,z'
'x,x-y,z'
loop_
_atom_site_label
_atom_site_type_symbol
_atom_site_fract_x
_atom_site_fract_y
_atom_site_fract_z
_atom_site_occupancy
Be1 Be 0.0000 0.0000 0.0000 1
In1 In 0.3333 0.6667 0.3288 1
Te1 Te 0.6667 0.3333 0.8288 1

=====

Record 2
# Ce2HoIn3, relaxed, DFT GGA-PBE
# Energy: -4.50 eV per atom
# Volume: 26.964 A^3/atom
data_Ce2HoIn3
_cell_length_a 3.4179
_cell_length_b 3.4179
_cell_length_c 13.8490
_cell_angle_alpha 90.00
_cell_angle_beta 90.00
_cell_angle_gamma 90.00
_space_group_name_H-M_alt 'P 4/m m m'
_space_group_IT_number 123
_space_group_name_Hall '-P 4 2'
loop_
_atom_site_label
_atom_site_type_symbol
_atom_site_fract_x
_atom_site_fract_y
_atom_site_fract_z
_atom_site_occupancy
Ce1 Ce 0.0000 0.0000 0.1704 1
Ho1 Ho 0.0000 0.0000 0.5000 1
In1 In 0.5000 0.5000 0.0000 1
In2 In 0.5000 0.5000 0.3399 1

=====

Record 3
# NdSmEuSc, relaxed, DFT GGA-PBE
# Energy: -6.37 eV per atom
# Volume: 32.768 A^3/atom
data_NdSmEuSc
_cell_length_a 8.0635
_cell_length_b 8.0635
_cell_length_c 8.0635
_cell_angle_alpha 90.00
_cell_angle_beta 90.00
_cell_angle_gamma 90.00
_space_group_name_H-M_alt 'F -4 3 m'
_space_group_IT_number 216
_space_group_name_Hall 'F -4 2 3'
loop_
_atom_site_label
_atom_site_type_symbol
_atom_site_fract_x
_atom_site_fract_y
_atom_site_fract_z
_atom_site_occupancy
Nd1 Nd 0.0000 0.0000 0.0000 1
Sm1 Sm 0.0000 0.0000 0.5000 1
Eu1 Eu 0.2500 0.2500 0.7500 1
Sc1 Sc 0.2500 0.2500 0.2500 1

=====

Record 4
# NdHoI6, relaxed, DFT GGA-PBE
# Raw formation energy: -10.7 eV/f.u.
# Volume: 44.729 A^3/atom
data_NdHoI6
_cell_length_a 7.7011
_cell_length_b 7.7011
_cell_length_c 20.9003
_cell_angle_alpha 90.00
_cell_angle_beta 90.00
_cell_angle_gamma 120.00
_space_group_name_H-M_alt 'R -3'
_space_group_IT_number 148
_space_group_name_Hall '-R 3'
loop_
_atom_site_label
_atom_site_type_symbol
_atom_site_fract_x
_atom_site_fract_y
_atom_site_fract_z
_atom_site_occupancy
Nd1 Nd 0.0000 0.0000 0.0000 1
Ho1 Ho 0.0000 0.0000 0.5000 1
I1 I 0.0016 0.6758 0.5820 1

=====

Record 5
# LiHo2Au2, relaxed, DFT GGA-PBE
# ΔE to the lowest computed polymorph: 0 meV per atom
# Volume: 23.501 A^3/atom
data_LiHo2Au2
_cell_length_a 7.9648
_cell_length_b 7.9648
_cell_length_c 3.7047
_cell_angle_alpha 90.00
_cell_angle_beta 90.00
_cell_angle_gamma 90.00
_space_group_name_H-M_alt 'P 4/m b m'
_space_group_IT_number 127
_space_group_name_Hall '-P 4 2ab'
loop_
_atom_site_label
_atom_site_type_symbol
_atom_site_fract_x
_atom_site_fract_y
_atom_site_fract_z
_atom_site_occupancy
Li1 Li 0.0000 0.0000 0.0000 1
Ho1 Ho 0.1604 0.3396 0.5000 1
Au1 Au 0.1379 0.6379 0.0000 1

=====

Record 6
# Li2YAg, relaxed, DFT GGA-PBE
# ΔE to the lowest computed polymorph: 228 meV per atom
# Volume: 21.710 A^3/atom
data_Li2YAg
_cell_length_a 5.9775
_cell_length_b 8.9626
_cell_length_c 3.2419
_cell_angle_alpha 90.00
_cell_angle_beta 90.00
_cell_angle_gamma 90.00
_space_group_name_H-M_alt 'C m m m'
_space_group_IT_number 65
_space_group_name_Hall '-C 2 2'
loop_
_atom_site_label
_atom_site_type_symbol
_atom_site_fract_x
_atom_site_fract_y
_atom_site_fract_z
_atom_site_occupancy
Li1 Li 0.2500 0.2500 0.0000 1
Y1 Y 0.0000 0.0000 0.5000 1
Ag1 Ag 0.0000 0.5000 0.5000 1

=====

Record 7
# Na3Li3ZnBr8, relaxed, DFT GGA-PBE
# Raw formation energy: -20.8 eV/f.u.
# Volume: 25.226 A^3/atom
data_Na3Li3ZnBr8
_cell_length_a 7.9962
_cell_length_b 7.9962
_cell_length_c 20.4976
_cell_angle_alpha 90.00
_cell_angle_beta 90.00
_cell_angle_gamma 120.00
_space_group_name_H-M_alt 'R -3 m'
_space_group_IT_number 166
_space_group_name_Hall '-R 3 2"'
loop_
_atom_site_label
_atom_site_type_symbol
_atom_site_fract_x
_atom_site_fract_y
_atom_site_fract_z
_atom_site_occupancy
Na1 Na 0.0000 0.5000 0.0000 1
Li1 Li 0.0000 0.5000 0.5000 1
Zn1 Zn 0.0000 0.0000 0.5000 1
Br1 Br 0.0000 0.0000 0.2429 1
Br2 Br 0.0130 0.5065 0.2396 1

=====

Record 8
# Ca2BRh, relaxed, DFT GGA-PBE
# Energy: -4.84 eV per atom
# Volume: 23.622 A^3/atom
data_Ca2BRh
_cell_length_a 6.0122
_cell_length_b 15.4738
_cell_length_c 4.0976
_cell_angle_alpha 90.00
_cell_angle_beta 97.50
_cell_angle_gamma 90.00
_space_group_name_H-M_alt 'C 1 2/m 1'
_space_group_IT_number 12
loop_
_space_group_symop_operation_xyz
'x,y,z'
'-x,-y,-z'
'-x,y,-z'
'x,-y,z'
'x+1/2,y+1/2,z'
'-x+1/2,-y+1/2,-z'
'-x+1/2,y+1/2,-z'
'x+1/2,-y+1/2,z'
loop_
_atom_site_label
_atom_site_type_symbol
_atom_site_fract_x
_atom_site_fract_y
_atom_site_fract_z
_atom_site_occupancy
Ca1 Ca 0.0000 0.1065 0.0000 1
Ca2 Ca 0.0000 0.3345 0.5000 1
B1 B 0.1052 0.5000 0.8776 1
Rh1 Rh 0.2174 0.5000 0.4200 1

=====

Record 9
# LiLa3Si2Pd9, relaxed, DFT GGA-PBE
# Raw formation energy: -10.1 eV/f.u.
# Volume: 20.247 A^3/atom
data_LiLa3Si2Pd9
_cell_length_a 5.8957
_cell_length_b 5.8957
_cell_length_c 10.0892
_cell_angle_alpha 90.00
_cell_angle_beta 90.00
_cell_angle_gamma 120.00
_space_group_name_H-M_alt 'P -3 m 1'
_space_group_IT_number 164
_space_group_name_Hall '-P 3 2"'
loop_
_atom_site_label
_atom_site_type_symbol
_atom_site_fract_x
_atom_site_fract_y
_atom_site_fract_z
_atom_site_occupancy
Li1 Li 0.0000 0.0000 0.0000 1
La1 La 0.0000 0.0000 0.5000 1
La2 La 0.3333 0.6667 0.1339 1
Si1 Si 0.3333 0.6667 0.6656 1
Pd1 Pd 0.0000 0.5000 0.5000 1
Pd2 Pd 0.1603 0.3206 0.8160 1

=====

Record 10
# Co4Ni5Pt4, relaxed, DFT GGA-PBE
# Energy: -6.35 eV per atom
# Volume: 12.552 A^3/atom
data_Co4Ni5Pt4
_cell_length_a 9.3785
_cell_length_b 9.3785
_cell_length_c 3.7105
_cell_angle_alpha 90.00
_cell_angle_beta 90.00
_cell_angle_gamma 90.00
_space_group_name_H-M_alt 'I 4/m'
_space_group_IT_number 87
_space_group_name_Hall '-I 4'
loop_
_atom_site_label
_atom_site_type_symbol
_atom_site_fract_x
_atom_site_fract_y
_atom_site_fract_z
_atom_site_occupancy
Co1 Co 0.0740 0.3948 0.0000 1
Ni1 Ni 0.0000 0.0000 0.0000 1
Ni2 Ni 0.0392 0.1918 0.5000 1
Pt1 Pt 0.1461 0.7689 0.0000 1

=====

Record 11
# Nd4ScHg, relaxed, DFT GGA-PBE
# ΔE to the lowest computed polymorph: 99 meV per atom
# Volume: 31.763 A^3/atom
data_Nd4ScHg
_cell_length_a 8.9577
_cell_length_b 14.2503
_cell_length_c 6.3337
_cell_angle_alpha 90.00
_cell_angle_beta 109.46
_cell_angle_gamma 90.00
_space_group_name_H-M_alt 'C 1 2/c 1'
_space_group_IT_number 15
loop_
_space_group_symop_operation_xyz
'x,y,z'
'-x,-y,-z'
'-x,y,-z+1/2'
'x,-y,z+1/2'
'x+1/2,y+1/2,z'
'-x+1/2,-y+1/2,-z'
'-x+1/2,y+1/2,-z+1/2'
'x+1/2,-y+1/2,z+1/2'
loop_
_atom_site_label
_atom_site_type_symbol
_atom_site_fract_x
_atom_site_fract_y
_atom_site_fract_z
_atom_site_occupancy
Nd1 Nd 0.1014 0.1917 0.0539 1
Nd2 Nd 0.2068 0.3980 0.3695 1
Sc1 Sc 0.0000 0.3990 0.7500 1
Hg1 Hg 0.0000 0.0021 0.7500 1

=====

Record 12
# Cs2LiUTe4, relaxed, DFT GGA-PBE
# Raw formation energy: -5.6 eV/f.u.
# Volume: 42.670 A^3/atom
data_Cs2LiUTe4
_cell_length_a 9.2746
_cell_length_b 9.2746
_cell_length_c 7.9369
_cell_angle_alpha 90.00
_cell_angle_beta 90.00
_cell_angle_gamma 90.00
_space_group_name_H-M_alt 'I -4 2 m'
_space_group_IT_number 121
_space_group_name_Hall 'I -4 2'
loop_
_atom_site_label
_atom_site_type_symbol
_atom_site_fract_x
_atom_site_fract_y
_atom_site_fract_z
_atom_site_occupancy
Cs1 Cs 0.0000 0.5000 0.0000 1
Li1 Li 0.0000 0.0000 0.0000 1
U1 U 0.0000 0.0000 0.5000 1
Te1 Te 0.1613 0.1613 0.7473 1

=====

Record 13
# La12Sm7Tm, relaxed, DFT GGA-PBE
# ΔE to the lowest computed polymorph: 11 meV per atom
# Volume: 35.541 A^3/atom
data_La12Sm7Tm
_cell_length_a 12.5704
_cell_length_b 12.5704
_cell_length_c 15.5830
_cell_angle_alpha 90.00
_cell_angle_beta 90.00
_cell_angle_gamma 120.00
_space_group_name_H-M_alt 'R -3'
_space_group_IT_number 148
_space_group_name_Hall '-R 3'
loop_
_atom_site_label
_atom_site_type_symbol
_atom_site_fract_x
_atom_site_fract_y
_atom_site_fract_z
_atom_site_occupancy
La1 La 0.0187 0.5768 0.2221 1
La2 La 0.0657 0.4716 0.5777 1
Sm1 Sm 0.0000 0.0000 0.0000 1
Sm2 Sm 0.0558 0.8709 0.3048 1
Tm1 Tm 0.0000 0.0000 0.5000 1

=====

Record 14
# CdSbTe2F, relaxed, DFT GGA-PBE
# Raw formation energy: -0.4 eV/f.u.
# ΔE to the lowest computed polymorph: 0 meV per atom
# Volume: 26.707 A^3/atom
data_CdSbTe2F
_cell_length_a 5.5332
_cell_length_b 5.5332
_cell_length_c 4.3616
_cell_angle_alpha 90.00
_cell_angle_beta 90.00
_cell_angle_gamma 90.00
_space_group_name_H-M_alt 'P 4/m m m'
_space_group_IT_number 123
_space_group_name_Hall '-P 4 2'
loop_
_atom_site_label
_atom_site_type_symbol
_atom_site_fract_x
_atom_site_fract_y
_atom_site_fract_z
_atom_site_occupancy
Cd1 Cd 0.0000 0.0000 0.0000 1
Sb1 Sb 0.5000 0.5000 0.0000 1
Te1 Te 0.0000 0.5000 0.5000 1
F1 F 0.5000 0.5000 0.5000 1

=====

Record 15
# FeSi2Os, relaxed, DFT GGA-PBE
# Raw formation energy: 0.4 eV/f.u.
# Volume: 12.939 A^3/atom
data_FeSi2Os
_cell_length_a 2.6710
_cell_length_b 2.6710
_cell_length_c 7.2551
_cell_angle_alpha 90.00
_cell_angle_beta 90.00
_cell_angle_gamma 90.00
_space_group_name_H-M_alt 'P 4 m m'
_space_group_IT_number 99
loop_
_space_group_symop_operation_xyz
'x,y,z'
'-y,x,z'
'-x,-y,z'
'y,-x,z'
'-x,y,z'
'y,x,z'
'x,-y,z'
'-y,-x,z'
loop_
_atom_site_label
_atom_site_type_symbol
_atom_site_fract_x
_atom_site_fract_y
_atom_site_fract_z
_atom_site_occupancy
Fe1 Fe 0.0000 0.0000 0.0000 1
Si1 Si 0.0000 0.0000 0.4877 1
Si2 Si 0.5000 0.5000 0.7852 1
Os1 Os 0.5000 0.5000 0.2368 1

=====

Record 16
# NbOs3, relaxed, DFT GGA-PBE
# Energy: -10.90 eV per atom
# Volume: 15.228 A^3/atom
data_NbOs3
_cell_length_a 2.7761
_cell_length_b 2.7761
_cell_length_c 9.1263
_cell_angle_alpha 90.00
_cell_angle_beta 90.00
_cell_angle_gamma 120.00
_space_group_name_H-M_alt 'P -6 m 2'
_space_group_IT_number 187
_space_group_name_Hall 'P -6 2'
loop_
_atom_site_label
_atom_site_type_symbol
_atom_site_fract_x
_atom_site_fract_y
_atom_site_fract_z
_atom_site_occupancy
Nb1 Nb 0.0000 0.0000 0.0000 1
Os1 Os 0.0000 0.0000 0.5000 1
Os2 Os 0.6667 0.3333 0.2659 1

=====

Record 17
# Hf3CuRe2, relaxed, DFT GGA-PBE
# Energy: -10.11 eV per atom
# Volume: 17.626 A^3/atom
data_Hf3CuRe2
_cell_length_a 3.2969
_cell_length_b 3.2969
_cell_length_c 9.7293
_cell_angle_alpha 90.00
_cell_angle_beta 90.00
_cell_angle_gamma 90.00
_space_group_name_H-M_alt 'P 4/m m m'
_space_group_IT_number 123
_space_group_name_Hall '-P 4 2'
loop_
_atom_site_label
_atom_site_type_symbol
_atom_site_fract_x
_atom_site_fract_y
_atom_site_fract_z
_atom_site_occupancy
Hf1 Hf 0.0000 0.0000 0.0000 1
Hf2 Hf 0.0000 0.0000 0.3286 1
Cu1 Cu 0.5000 0.5000 0.5000 1
Re1 Re 0.5000 0.5000 0.1728 1

=====

Record 18
# La2YAl, relaxed, DFT GGA-PBE
# Energy: -4.91 eV per atom
# Volume: 32.142 A^3/atom
data_La2YAl
_cell_length_a 9.0216
_cell_length_b 9.0216
_cell_length_c 6.3188
_cell_angle_alpha 90.00
_cell_angle_beta 90.00
_cell_angle_gamma 90.00
_space_group_name_H-M_alt 'I -4 2 d'
_space_group_IT_number 122
_space_group_name_Hall 'I -4 2bw'
loop_
_atom_site_label
_atom_site_type_symbol
_atom_site_fract_x
_atom_site_fract_y
_atom_site_fract_z
_atom_site_occupancy
La1 La 0.2124 0.2500 0.1250 1
Y1 Y 0.0000 0.0000 0.5000 1
Al1 Al 0.0000 0.0000 0.0000 1

=====

Record 19
# CsRb14Na, relaxed, DFT GGA-PBE
# Energy: -0.97 eV per atom
# Volume: 88.286 A^3/atom
data_CsRb14Na
_cell_length_a 11.0502
_cell_length_b 11.0502
_cell_length_c 11.5684
_cell_angle_alpha 90.00
_cell_angle_beta 90.00
_cell_angle_gamma 90.00
_space_group_name_H-M_alt 'P 4/m m m'
_space_group_IT_number 123
_space_group_name_Hall '-P 4 2'
loop_
_atom_site_label
_atom_site_type_symbol
_atom_site_fract_x
_atom_site_fract_y
_atom_site_fract_z
_atom_site_occupancy
Cs1 Cs 0.0000 0.0000 0.0000 1
Rb1 Rb 0.0000 0.0000 0.5000 1
Rb2 Rb 0.0000 0.5000 0.0000 1
Rb3 Rb 0.0000 0.5000 0.5000 1
Rb4 Rb 0.2642 0.2642 0.2405 1
Rb5 Rb 0.5000 0.5000 0.5000 1
Na1 Na 0.5000 0.5000 0.0000 1

=====

Record 20
# Li2Al, relaxed, DFT GGA-PBE
# Energy: -2.62 eV per atom
# Volume: 17.016 A^3/atom
data_Li2Al
_cell_length_a 8.0676
_cell_length_b 8.0676
_cell_length_c 2.7169
_cell_angle_alpha 90.00
_cell_angle_beta 90.00
_cell_angle_gamma 120.00
_space_group_name_H-M_alt 'P -6 2 m'
_space_group_IT_number 189
_space_group_name_Hall 'P -6 -2'
loop_
_atom_site_label
_atom_site_type_symbol
_atom_site_fract_x
_atom_site_fract_y
_atom_site_fract_z
_atom_site_occupancy
Li1 Li 0.0000 0.3116 0.0000 1
Li2 Li 0.0000 0.6447 0.5000 1
Al1 Al 0.0000 0.0000 0.5000 1
Al2 Al 0.3333 0.6667 0.0000 1

=====

Record 21
# Nb2PdCl, relaxed, DFT GGA-PBE
# Raw formation energy: 2.7 eV/f.u.
# ΔE to the lowest computed polymorph: 489 meV per atom
# Volume: 22.692 A^3/atom
data_Nb2PdCl
_cell_length_a 5.6829
_cell_length_b 5.6829
_cell_length_c 11.2425
_cell_angle_alpha 90.00
_cell_angle_beta 90.00
_cell_angle_gamma 90.00
_space_group_name_H-M_alt 'I -4 2 d'
_space_group_IT_number 122
_space_group_name_Hall 'I -4 2bw'
loop_
_atom_site_label
_atom_site_type_symbol
_atom_site_fract_x
_atom_site_fract_y
_atom_site_fract_z
_atom_site_occupancy
Nb1 Nb 0.2390 0.2500 0.1250 1
Pd1 Pd 0.0000 0.0000 0.5000 1
Cl1 Cl 0.0000 0.0000 0.0000 1

=====

Record 22
# Tm2Ge4IrPt3, relaxed, DFT GGA-PBE
# Energy: -6.27 eV per atom
# Volume: 18.266 A^3/atom
data_Tm2Ge4IrPt3
_cell_length_a 4.0826
_cell_length_b 4.0826
_cell_length_c 10.9588
_cell_angle_alpha 90.00
_cell_angle_beta 90.00
_cell_angle_gamma 90.00
_space_group_name_H-M_alt 'P -4 m 2'
_space_group_IT_number 115
loop_
_space_group_symop_operation_xyz
'x,y,z'
'y,-x,-z'
'-x,-y,z'
'-y,x,-z'
'-x,y,z'
'-y,-x,-z'
'x,-y,z'
'y,x,-z'
loop_
_atom_site_label
_atom_site_type_symbol
_atom_site_fract_x
_atom_site_fract_y
_atom_site_fract_z
_atom_site_occupancy
Tm1 Tm 0.0000 0.5000 0.2383 1
Ge1 Ge 0.0000 0.0000 0.5000 1
Ge2 Ge 0.0000 0.5000 0.8647 1
Ge3 Ge 0.5000 0.5000 0.5000 1
Ir1 Ir 0.5000 0.5000 0.0000 1
Pt1 Pt 0.0000 0.0000 0.0000 1
Pt2 Pt 0.0000 0.5000 0.6446 1

=====

Record 23
# KZrPSe6, relaxed, DFT GGA-PBE
# Raw formation energy: -3.7 eV/f.u.
# Volume: 31.629 A^3/atom
data_KZrPSe6
_cell_length_a 6.4423
_cell_length_b 6.4423
_cell_length_c 7.9187
_cell_angle_alpha 90.00
_cell_angle_beta 90.00
_cell_angle_gamma 120.00
_space_group_name_H-M_alt 'P 3 1 2'
_space_group_IT_number 149
loop_
_space_group_symop_operation_xyz
'x,y,z'
'-y,x-y,z'
'-x+y,-x,z'
'-y,-x,-z'
'-x+y,y,-z'
'x,x-y,-z'
loop_
_atom_site_label
_atom_site_type_symbol
_atom_site_fract_x
_atom_site_fract_y
_atom_site_fract_z
_atom_site_occupancy
K1 K 0.0000 0.0000 0.0000 1
Zr1 Zr 0.6667 0.3333 0.5000 1
P1 P 0.3333 0.6667 0.5000 1
Se1 Se 0.0271 0.3761 0.3107 1